# GGA+U Ba2Co3Cl2O4, relaxed
data_Ba2Co3Cl2O4
_symmetry_space_group_name_H-M 'I 4/m m m'
_symmetry_Int_Tables_number 139
_symmetry_space_group_name_Hall '-I 4 2'
_cell_length_a 5.637
_cell_length_b 5.637
_cell_length_c 13.737
_cell_angle_alpha 90.00
_cell_angle_beta 90.00
_cell_angle_gamma 90.00
loop_
_atom_site_label
_atom_site_type_symbol
_atom_site_fract_x
_atom_site_fract_y
_atom_site_fract_z
Ba1 Ba 0.000 0.000 0.140
Co1 Co 0.000 0.000 0.500
Co2 Co 0.000 0.500 0.000
Cl1 Cl 0.000 0.500 0.250
O1 O 0.248 0.248 0.500
# Size of the total moment = 18.00 μB/cell
# Final energy = -5.564 eV/atom